Record 1
A geometry-optimized LiHoTlHg structure, computed with GGA-PBE.

a = 5.075 Å, b = 5.075 Å, c = 5.075 Å
α = 60.00°, β = 60.00°, γ = 60.00°
Positions (direct):
Tl 0.250 0.250 0.250
Ho 0.500 0.500 0.500
Hg 0.750 0.750 0.750
Li 0.000 0.000 0.000

crystal system = cubic
energy = -10.67 eV per cell
space group = F-43m (216)
DOS(E_F) = 2.137 states/eV/cell
DFT formation energy = -377.6 meV/atom

***

Record 2
A geometry-optimized Li2HoTmHg4 structure, computed with GGA-PBE.

a = 4.995 Å, b = 4.995 Å, c = 8.641 Å
α = 73.20°, β = 73.20°, γ = 60.00°
Positions (direct):
Hg 0.376 0.376 0.873
Li 0.250 0.250 0.251
Ho 0.000 0.000 0.000
Hg 0.126 0.126 0.623
Hg 0.874 0.874 0.377
Hg 0.624 0.624 0.127
Li 0.750 0.750 0.749
Tm 0.500 0.500 0.500

crystal system = trigonal
energy = -17.51 eV per cell
space group = R-3m (166)
DOS(E_F) = 5.816 states/eV/cell
DFT formation energy = -427.6 meV/atom

***

Record 3
A geometry-optimized LiHoTm2Hg4 structure, computed with GGA-PBE.

a = 5.101 Å, b = 5.101 Å, c = 8.946 Å
α = 73.44°, β = 73.44°, γ = 60.00°
Positions (direct):
Li 0.500 0.500 0.500
Hg 0.378 0.378 0.866
Hg 0.874 0.874 0.377
Tm 0.246 0.246 0.263
Tm 0.754 0.754 0.737
Hg 0.622 0.622 0.134
Ho 0.000 0.000 0.000
Hg 0.126 0.126 0.623

crystal system = trigonal
energy = -20.24 eV per cell
space group = R-3m (166)
DOS(E_F) = 6.185 states/eV/cell
DFT formation energy = -449.9 meV/atom

***

Record 4
A geometry-optimized LiHo2TmHg4 structure, computed with GGA-PBE.

a = 5.119 Å, b = 5.119 Å, c = 8.940 Å
α = 73.37°, β = 73.37°, γ = 60.00°
Positions (direct):
Hg 0.624 0.624 0.129
Hg 0.126 0.126 0.623
Ho 0.246 0.246 0.262
Hg 0.376 0.376 0.871
Ho 0.754 0.754 0.738
Li 0.500 0.500 0.500
Tm 0.000 0.000 0.000
Hg 0.874 0.874 0.377

crystal system = trigonal
energy = -20.41 eV per cell
space group = R-3m (166)
DOS(E_F) = 6.121 states/eV/cell
DFT formation energy = -458.3 meV/atom

***

Record 5
A geometry-optimized LiYHo2Hg4 structure, computed with GGA-PBE.

a = 5.132 Å, b = 5.132 Å, c = 9.008 Å
α = 73.45°, β = 73.45°, γ = 60.00°
Positions (direct):
Hg 0.126 0.126 0.623
Hg 0.378 0.378 0.866
Y 0.000 0.000 0.000
Ho 0.755 0.755 0.736
Ho 0.245 0.245 0.264
Li 0.500 0.500 0.500
Hg 0.874 0.874 0.377
Hg 0.622 0.622 0.134

crystal system = trigonal
energy = -22.42 eV per cell
space group = R-3m (166)
DOS(E_F) = 6.760 states/eV/cell
DFT formation energy = -460.5 meV/atom

***

Record 6
A geometry-optimized LiHoZnHg structure, computed with GGA-PBE.

a = 4.889 Å, b = 4.889 Å, c = 4.889 Å
α = 60.00°, β = 60.00°, γ = 60.00°
Positions (direct):
Li 0.750 0.750 0.750
Hg 0.500 0.500 0.500
Ho 0.250 0.250 0.250
Zn 0.000 0.000 0.000

crystal system = cubic
energy = -9.41 eV per cell
space group = F-43m (216)
DOS(E_F) = 2.025 states/eV/cell
DFT formation energy = -335.6 meV/atom

***

Record 7
A geometry-optimized Ho2LuHg structure, computed with GGA-PBE.

a = 3.576 Å, b = 3.576 Å, c = 10.659 Å
α = 80.34°, β = 80.34°, γ = 60.00°
Positions (direct):
Hg 0.000 0.000 0.000
Ho 0.256 0.256 0.231
Lu 0.500 0.500 0.500
Ho 0.744 0.744 0.769

crystal system = trigonal
energy = -14.57 eV per cell
space group = R-3m (166)
DOS(E_F) = 4.851 states/eV/cell
DFT formation energy = -147.3 meV/atom

***

Record 8
A geometry-optimized Ho2LuHg structure, computed with GGA-PBE.

a = 3.560 Å, b = 3.560 Å, c = 8.849 Å
α = 90.00°, β = 90.00°, γ = 90.00°
Positions (direct):
Ho 0.000 0.000 0.773
Hg 0.500 0.500 0.000
Lu 0.500 0.500 0.500
Ho 0.000 0.000 0.227

crystal system = tetragonal
energy = -14.85 eV per cell
space group = P4/mmm (123)
DOS(E_F) = 5.046 states/eV/cell
DFT formation energy = -216.8 meV/atom

***

Record 9
A geometry-optimized HoLu2Hg structure, computed with GGA-PBE.

a = 3.528 Å, b = 3.528 Å, c = 8.825 Å
α = 90.00°, β = 90.00°, γ = 90.00°
Positions (direct):
Hg 0.500 0.500 0.000
Ho 0.500 0.500 0.500
Lu 0.000 0.000 0.223
Lu 0.000 0.000 0.777

crystal system = tetragonal
energy = -14.84 eV per cell
space group = P4/mmm (123)
DOS(E_F) = 4.016 states/eV/cell
DFT formation energy = -228.4 meV/atom

***

Record 10
A geometry-optimized Ho2LuHg structure, computed with GGA-PBE.

a = 3.920 Å, b = 5.286 Å, c = 5.286 Å
α = 90.00°, β = 90.00°, γ = 90.00°
Positions (direct):
Lu 0.500 0.500 0.500
Ho 0.000 0.500 0.000
Ho 0.000 0.000 0.500
Hg 0.500 0.000 0.000

crystal system = tetragonal
energy = -14.45 eV per cell
space group = P4/mmm (123)
DOS(E_F) = 5.370 states/eV/cell
DFT formation energy = -117.5 meV/atom

***

Record 11
A geometry-optimized Ho2LuHg structure, computed with GGA-PBE.

a = 5.355 Å, b = 5.355 Å, c = 5.355 Å
α = 60.00°, β = 60.00°, γ = 60.00°
Last column: magnetic moment on the atom in μB.
Positions (direct):
Ho 0.250 0.250 0.250  0.08
Ho 0.750 0.750 0.750  0.08
Hg 0.500 0.500 0.500  0.00
Lu 0.000 0.000 0.000  0.08

crystal system = cubic
energy = -14.20 eV per cell
space group = Fm-3m (225)
DOS(E_F) = 5.182 states/eV/cell
DFT formation energy = -55.7 meV/atom

***

Record 12
A geometry-optimized HoLuHg4 structure, computed with GGA-PBE.

a = 5.920 Å, b = 5.920 Å, c = 5.920 Å
α = 60.00°, β = 60.00°, γ = 60.00°
Positions (direct):
Hg 0.125 0.625 0.625
Hg 0.625 0.625 0.125
Hg 0.625 0.125 0.625
Ho 0.250 0.250 0.250
Lu 0.000 0.000 0.000
Hg 0.625 0.625 0.625

crystal system = cubic
energy = -11.14 eV per cell
space group = F-43m (216)
DOS(E_F) = 5.824 states/eV/cell
DFT formation energy = -139.2 meV/atom

***

Record 13
A geometry-optimized HoLu2Hg structure, computed with GGA-PBE.

a = 4.715 Å, b = 4.746 Å, c = 4.746 Å
α = 90.00°, β = 90.00°, γ = 90.00°
Positions (direct):
Lu 0.000 0.500 0.000
Lu 0.000 0.000 0.500
Ho 0.500 0.500 0.500
Hg 0.500 0.000 0.000

crystal system = tetragonal
energy = -14.53 eV per cell
space group = P4/mmm (123)
DOS(E_F) = 4.698 states/eV/cell
DFT formation energy = -151.4 meV/atom

***

Record 14
A geometry-optimized HoLu2Hg structure, computed with GGA-PBE.

a = 3.539 Å, b = 3.539 Å, c = 10.584 Å
α = 80.38°, β = 80.38°, γ = 60.00°
Positions (direct):
Lu 0.743 0.743 0.772
Hg 0.000 0.000 0.000
Ho 0.500 0.500 0.500
Lu 0.257 0.257 0.228

crystal system = trigonal
energy = -14.55 eV per cell
space group = R-3m (166)
DOS(E_F) = 4.052 states/eV/cell
DFT formation energy = -156.8 meV/atom

***

Record 15
A geometry-optimized HoLuMgHg structure, computed with GGA-PBE.

a = 5.233 Å, b = 5.233 Å, c = 5.233 Å
α = 60.00°, β = 60.00°, γ = 60.00°
Positions (direct):
Mg 0.000 0.000 0.000
Lu 0.750 0.750 0.750
Hg 0.500 0.500 0.500
Ho 0.250 0.250 0.250

crystal system = cubic
energy = -11.99 eV per cell
space group = F-43m (216)
DOS(E_F) = 3.958 states/eV/cell
DFT formation energy = -249.9 meV/atom

***

Record 16
A geometry-optimized HoLuMnHg structure, computed with GGA-PBE.

a = 5.085 Å, b = 5.085 Å, c = 5.085 Å
α = 60.00°, β = 60.00°, γ = 60.00°
Last column: magnetic moment on the atom in μB.
Positions (direct):
Hg 0.500 0.500 0.500  0.04
Ho 0.250 0.250 0.250  0.22
Lu 0.750 0.750 0.750  0.22
Mn 0.000 0.000 0.000  -3.48

crystal system = cubic
energy = -18.90 eV per cell
space group = F-43m (216)
DOS(E_F) = 6.220 states/eV/cell
DFT formation energy = -83.3 meV/atom

***

Record 17
A geometry-optimized HoLuHgRu structure, computed with GGA-PBE.

a = 4.967 Å, b = 4.967 Å, c = 4.967 Å
α = 60.00°, β = 60.00°, γ = 60.00°
Positions (direct):
Ru 0.750 0.750 0.750
Lu 0.000 0.000 0.000
Ho 0.500 0.500 0.500
Hg 0.250 0.250 0.250

crystal system = cubic
energy = -20.24 eV per cell
space group = F-43m (216)
DOS(E_F) = 3.852 states/eV/cell
DFT formation energy = -390.8 meV/atom

***

Record 18
A geometry-optimized SmHoLuHg structure, computed with GGA-PBE.

a = 5.403 Å, b = 5.403 Å, c = 5.403 Å
α = 60.00°, β = 60.00°, γ = 60.00°
Positions (direct):
Sm 0.250 0.250 0.250
Ho 0.750 0.750 0.750
Hg 0.500 0.500 0.500
Lu 0.000 0.000 0.000

crystal system = cubic
energy = -14.39 eV per cell
space group = F-43m (216)
DOS(E_F) = 5.117 states/eV/cell
DFT formation energy = -67.3 meV/atom

***

Record 19
A geometry-optimized TbHoLuHg structure, computed with GGA-PBE.

a = 5.370 Å, b = 5.370 Å, c = 5.370 Å
α = 60.00°, β = 60.00°, γ = 60.00°
Positions (direct):
Lu 0.750 0.750 0.750
Tb 0.000 0.000 0.000
Ho 0.500 0.500 0.500
Hg 0.250 0.250 0.250

crystal system = cubic
energy = -14.28 eV per cell
space group = F-43m (216)
DOS(E_F) = 5.239 states/eV/cell
DFT formation energy = -62.3 meV/atom

***

Record 20
A geometry-optimized HoTmLuHg structure, computed with GGA-PBE.

a = 5.340 Å, b = 5.340 Å, c = 5.340 Å
α = 60.00°, β = 60.00°, γ = 60.00°
Last column: magnetic moment on the atom in μB.
Positions (direct):
Tm 0.500 0.500 0.500  0.12
Lu 0.750 0.750 0.750  0.12
Hg 0.250 0.250 0.250  0.00
Ho 0.000 0.000 0.000  0.11

crystal system = cubic
energy = -14.07 eV per cell
space group = F-43m (216)
DOS(E_F) = 5.324 states/eV/cell
DFT formation energy = -48.5 meV/atom